Entry 1:
## NiPd4Se8 (PBE)

Data for crystalline NiPd4Se8 at its relaxed geometry.

a b c (Å): 7.2433 7.2433 7.2433
angles (deg): 61.95 61.95 61.95
Closest atoms and distances in Å follow each position.
Element x y z (fractional)
Ni  0.0000  0.0000  0.0000  6 Se 2.51
Pd  0.0000  0.0000  0.5000  6 Se 2.52-2.54
Pd  0.0000  0.5000  0.0000  6 Se 2.52-2.54
Pd  0.5000  0.0000  0.0000  6 Se 2.52-2.54
Pd  0.5000  0.5000  0.5000  6 Se 2.69
Se  0.2261  0.7579  0.7579  1 Ni 2.51, 3 Pd 2.52-2.69
Se  0.2421  0.2421  0.7739  1 Ni 2.51, 3 Pd 2.52-2.69
Se  0.2421  0.7739  0.2421  1 Ni 2.51, 3 Pd 2.52-2.69
Se  0.2434  0.2434  0.2434  3 Pd 2.54
Se  0.7566  0.7566  0.7566  3 Pd 2.54
Se  0.7579  0.2261  0.7579  1 Ni 2.51, 3 Pd 2.52-2.69
Se  0.7579  0.7579  0.2261  1 Ni 2.51, 3 Pd 2.52-2.69
Se  0.7739  0.2421  0.2421  1 Ni 2.51, 3 Pd 2.52-2.69

As for the total energy: -57.3 eV per cell. The value obtained for the density of states at the Fermi level is 5.9 states/eV/f.u. Its uncorrected formation energy is -2.9 eV per formula unit.

Entry 2:
## Ni2Pd2Se (PBE)

Data for crystalline Ni2Pd2Se at its relaxed geometry.

a b c (Å): 7.3191 7.3191 7.3191
angles (deg): 153.89 153.89 37.26
Closest atoms and distances in Å follow each position.
Element x y z (fractional)
Ni  0.2500  0.7500  0.5000  4 Ni 2.34, 4 Pd 2.60
Ni  0.7500  0.2500  0.5000  4 Ni 2.34, 4 Pd 2.60
Pd  0.1049  0.1049  0.0000  4 Ni 2.60, 4 Se 2.75, 1 Pd 2.91
Pd  0.8951  0.8951  0.0000  4 Ni 2.60, 4 Se 2.75, 1 Pd 2.91
Se  0.5000  0.5000  0.0000  8 Pd 2.75

As for the total energy: -24.5 eV per cell. The energy above the most stable polymorph in this dataset is 121 meV per atom. The value obtained for the density of states at the Fermi level is 7.6 states/eV/f.u. Its uncorrected formation energy is 0.9 eV per formula unit.

Entry 3:
## NiPd2Se6 (PBE)

Data for crystalline NiPd2Se6 at its relaxed geometry.

a b c (Å): 5.7115 5.7115 10.8261
angles (deg): 115.39 115.39 38.88
Closest atoms and distances in Å follow each position.
Element x y z (fractional)
Ni  0.0000  0.0000  0.0000  6 Se 2.39-2.45
Pd  0.3346  0.3346  0.6715  6 Se 2.53-2.56
Pd  0.6654  0.6654  0.3285  6 Se 2.53-2.56
Se  0.1060  0.1060  0.4507  3 Pd 2.53-2.56
Se  0.2199  0.2199  0.2033  1 Ni 2.39, 2 Pd 2.55
Se  0.4401  0.4401  0.1058  2 Ni 2.45, 1 Pd 2.53
Se  0.5599  0.5599  0.8942  2 Ni 2.45, 1 Pd 2.53
Se  0.7801  0.7801  0.7967  1 Ni 2.39, 2 Pd 2.55
Se  0.8940  0.8940  0.5493  3 Pd 2.53-2.56

As for the total energy: -39.3 eV per cell. The energy above the most stable polymorph in this dataset is 0 meV per atom. The value obtained for the density of states at the Fermi level is 3.6 states/eV/f.u. Its uncorrected formation energy is -2.2 eV per formula unit.